1.
Compound: MgTl4Cl6
Source: the Alexandria database
Functional: PBE-GGA
Structure: relaxed

Total magnetic moment (μB per cell): 0.000
Uncorrected formation energy (eV per atom): -1.221

CIF file:
```
data_MgTl4Cl6
_chemical_formula_sum 'Mg4 Tl16 Cl24'
_cell_length_a 13.3320
_cell_length_b 8.4272
_cell_length_c 15.9343
_cell_angle_alpha 90.00
_cell_angle_beta 114.53
_cell_angle_gamma 90.00
_symmetry_space_group_name_H-M 'C 1 c 1'
_symmetry_Int_Tables_number 9
loop_
_symmetry_equiv_pos_as_xyz
'x,y,z'
'x,-y,z+1/2'
'x+1/2,y+1/2,z'
'x+1/2,-y+1/2,z+1/2'
loop_
_atom_site_label
_atom_site_fract_x
_atom_site_fract_y
_atom_site_fract_z
Mg1 0.0000 0.2451 0.0000
Tl1 0.0168 0.3539 0.2980
Tl2 0.0968 0.2110 0.5978
Tl3 0.2673 0.1656 0.9467
Tl4 0.3071 0.3570 0.2328
Cl1 0.0332 0.0434 0.9101
Cl2 0.0546 0.1441 0.1502
Cl3 0.1241 0.4497 0.0066
Cl4 0.2928 0.2679 0.7685
Cl5 0.3137 0.1889 0.4183
Cl6 0.4357 0.1274 0.1612
```

***

2.
Compound: CsI2Br6
Source: the Alexandria database
Functional: PBE-GGA
Structure: relaxed

Total magnetic moment (μB per cell): 0.000
Uncorrected formation energy (eV per atom): -0.412

CIF file:
```
data_CsI2Br6
_chemical_formula_sum 'Cs4 I8 Br24'
_cell_length_a 13.5973
_cell_length_b 17.0696
_cell_length_c 7.5055
_cell_angle_alpha 90.00
_cell_angle_beta 110.49
_cell_angle_gamma 90.00
_symmetry_space_group_name_H-M 'C 1 2/c 1'
_symmetry_Int_Tables_number 15
loop_
_symmetry_equiv_pos_as_xyz
'x,y,z'
'-x,-y,-z'
'-x,y,-z+1/2'
'x,-y,z+1/2'
'x+1/2,y+1/2,z'
'-x+1/2,-y+1/2,-z'
'-x+1/2,y+1/2,-z+1/2'
'x+1/2,-y+1/2,z+1/2'
loop_
_atom_site_label
_atom_site_fract_x
_atom_site_fract_y
_atom_site_fract_z
Cs1 0.0000 0.2176 0.2500
I1 0.1762 0.4200 0.7106
Br1 0.0864 0.0286 0.0767
Br2 0.1481 0.4245 0.1900
Br3 0.2099 0.2648 0.7273
```

***

3.
Compound: La3MgRh
Source: the Alexandria database
Functional: PBE-GGA
Structure: relaxed

Total magnetic moment (μB per cell): 0.000
Formation enthalpy at 0 K (eV per atom): -0.2833

CIF file:
```
data_La3MgRh
_chemical_formula_sum 'La12 Mg4 Rh4'
_cell_length_a 13.4977
_cell_length_b 5.6662
_cell_length_c 9.3118
_cell_angle_alpha 90.00
_cell_angle_beta 122.15
_cell_angle_gamma 90.00
_symmetry_space_group_name_H-M 'C 1 2/m 1'
_symmetry_Int_Tables_number 12
loop_
_symmetry_equiv_pos_as_xyz
'x,y,z'
'-x,-y,-z'
'-x,y,-z'
'x,-y,z'
'x+1/2,y+1/2,z'
'-x+1/2,-y+1/2,-z'
'-x+1/2,y+1/2,-z'
'x+1/2,-y+1/2,z'
loop_
_atom_site_label
_atom_site_fract_x
_atom_site_fract_y
_atom_site_fract_z
La1 0.0851 0.0000 0.2469
La2 0.1057 0.5000 0.9088
La3 0.1775 0.0000 0.7014
Mg1 0.1174 0.5000 0.5039
Rh1 0.2044 0.0000 0.1047
```

***

4.
Compound: TlInS
Source: the Alexandria database
Functional: PBE-GGA
Structure: relaxed

Total magnetic moment (μB per cell): 0.000
Uncorrected formation energy (eV per atom): -0.327

CIF file:
```
data_TlInS
_chemical_formula_sum 'Tl2 In2 S2'
_cell_length_a 5.3991
_cell_length_b 4.1545
_cell_length_c 7.9646
_cell_angle_alpha 90.00
_cell_angle_beta 92.07
_cell_angle_gamma 90.00
_symmetry_space_group_name_H-M 'P 1 21/m 1'
_symmetry_Int_Tables_number 11
loop_
_symmetry_equiv_pos_as_xyz
'x,y,z'
'-x,-y,-z'
'-x,y+1/2,-z'
'x,-y+1/2,z'
loop_
_atom_site_label
_atom_site_fract_x
_atom_site_fract_y
_atom_site_fract_z
Tl1 0.2209 0.2500 0.3800
In1 0.2063 0.7500 0.9293
S1 0.4996 0.2500 0.7953
```

***

5.
Compound: PmDy4Tm5
Source: the Alexandria database
Functional: PBE-GGA
Structure: relaxed

Total magnetic moment (μB per cell): 0.000
Formation enthalpy at 0 K (eV per atom): 0.0609

CIF file:
```
data_PmDy4Tm5
_chemical_formula_sum 'Pm1 Dy4 Tm5'
_cell_length_a 3.5297
_cell_length_b 6.6286
_cell_length_c 14.0046
_cell_angle_alpha 98.40
_cell_angle_beta 93.05
_cell_angle_gamma 104.03
_symmetry_space_group_name_H-M 'P -1'
_symmetry_Int_Tables_number 2
loop_
_symmetry_equiv_pos_as_xyz
'x,y,z'
'-x,-y,-z'
loop_
_atom_site_label
_atom_site_fract_x
_atom_site_fract_y
_atom_site_fract_z
Pm1 0.0000 0.0000 0.0000
Dy1 0.1165 0.8099 0.2184
Dy2 0.1893 0.7262 0.8040
Tm1 0.2048 0.8801 0.5830
Tm2 0.4898 0.4263 0.6124
Tm3 0.5000 0.5000 0.0000
```

***

6.
Compound: SnAs2W
Source: the Alexandria database
Functional: PBE-GGA
Structure: relaxed

Total magnetic moment (μB per cell): 0.000
Formation enthalpy at 0 K (eV per atom): 0.4882

CIF file:
```
data_SnAs2W
_chemical_formula_sum 'Sn4 As8 W4'
_cell_length_a 5.9613
_cell_length_b 5.9613
_cell_length_c 12.4405
_cell_angle_alpha 90.00
_cell_angle_beta 90.00
_cell_angle_gamma 90.00
_symmetry_space_group_name_H-M 'I -4 2 d'
_symmetry_Int_Tables_number 122
_symmetry_space_group_name_Hall 'I -4 2bw'
loop_
_atom_site_label
_atom_site_fract_x
_atom_site_fract_y
_atom_site_fract_z
Sn1 0.0000 0.0000 0.0000
As1 0.1893 0.2500 0.6250
W1 0.0000 0.0000 0.5000
```

***

7.
Compound: SrCa3Tl
Source: the Alexandria database
Functional: PBE-GGA
Structure: relaxed

Total magnetic moment (μB per cell): 0.926
Formation enthalpy at 0 K (eV per atom): -0.0543

CIF file:
```
data_SrCa3Tl
_chemical_formula_sum 'Sr1 Ca3 Tl1'
_cell_length_a 6.0998
_cell_length_b 6.0998
_cell_length_c 6.0998
_cell_angle_alpha 90.00
_cell_angle_beta 90.00
_cell_angle_gamma 90.00
_symmetry_space_group_name_H-M 'P m -3 m'
_symmetry_Int_Tables_number 221
_symmetry_space_group_name_Hall '-P 4 2 3'
loop_
_atom_site_label
_atom_site_fract_x
_atom_site_fract_y
_atom_site_fract_z
Sr1 0.0000 0.0000 0.0000
Ca1 0.0000 0.5000 0.5000
Tl1 0.5000 0.5000 0.5000
```

***

8.
Compound: NaTb3Sn12
Source: the Alexandria database
Functional: PBE-GGA
Structure: relaxed

Total magnetic moment (μB per cell): 0.000
Formation enthalpy at 0 K (eV per atom): -0.3620

CIF file:
```
data_NaTb3Sn12
_chemical_formula_sum 'Na1 Tb3 Sn12'
_cell_length_a 4.6794
_cell_length_b 4.6794
_cell_length_c 19.2201
_cell_angle_alpha 90.00
_cell_angle_beta 90.00
_cell_angle_gamma 90.00
_symmetry_space_group_name_H-M 'P 4/m m m'
_symmetry_Int_Tables_number 123
_symmetry_space_group_name_Hall '-P 4 2'
loop_
_atom_site_label
_atom_site_fract_x
_atom_site_fract_y
_atom_site_fract_z
Na1 0.0000 0.0000 0.0000
Tb1 0.0000 0.0000 0.2544
Tb2 0.0000 0.0000 0.5000
Sn1 0.0000 0.5000 0.1247
Sn2 0.0000 0.5000 0.3755
Sn3 0.5000 0.5000 0.0000
Sn4 0.5000 0.5000 0.2485
Sn5 0.5000 0.5000 0.5000
```

***

9.
Compound: Ho2Zn12Cu3Ni
Source: the Alexandria database
Functional: PBE-GGA
Structure: relaxed

Total magnetic moment (μB per cell): 0.000
Formation enthalpy at 0 K (eV per atom): -0.0305

CIF file:
```
data_Ho2Zn12Cu3Ni
_chemical_formula_sum 'Ho6 Zn36 Cu9 Ni3'
_cell_length_a 5.6587
_cell_length_b 5.6587
_cell_length_c 33.4548
_cell_angle_alpha 90.00
_cell_angle_beta 90.00
_cell_angle_gamma 120.00
_symmetry_space_group_name_H-M 'R -3 m'
_symmetry_Int_Tables_number 166
_symmetry_space_group_name_Hall '-R 3 2"'
loop_
_atom_site_label
_atom_site_fract_x
_atom_site_fract_y
_atom_site_fract_z
Ho1 0.0000 0.0000 0.1409
Zn1 0.0008 0.5004 0.8876
Zn2 0.0262 0.5131 0.6129
Cu1 0.0000 0.5000 0.0000
Ni1 0.0000 0.0000 0.5000
```

***

10.
Compound: Nd5Sm3Te8
Source: the Alexandria database
Functional: PBE-GGA
Structure: relaxed

Total magnetic moment (μB per cell): 0.000
Uncorrected formation energy (eV per atom): -1.404

CIF file:
```
data_Nd5Sm3Te8
_chemical_formula_sum 'Nd15 Sm9 Te24'
_cell_length_a 8.9611
_cell_length_b 8.9611
_cell_length_c 21.9316
_cell_angle_alpha 90.00
_cell_angle_beta 90.00
_cell_angle_gamma 120.00
_symmetry_space_group_name_H-M 'R -3 m'
_symmetry_Int_Tables_number 166
_symmetry_space_group_name_Hall '-R 3 2"'
loop_
_atom_site_label
_atom_site_fract_x
_atom_site_fract_y
_atom_site_fract_z
Nd1 0.0000 0.0000 0.0000
Nd2 0.0000 0.0000 0.5000
Nd3 0.0000 0.5000 0.0000
Sm1 0.0000 0.5000 0.5000
Te1 0.0000 0.0000 0.2485
Te2 0.0021 0.5010 0.7510
```

***

11.
Compound: Pr3Sm3ScS8
Source: the Alexandria database
Functional: PBE-GGA
Structure: relaxed

Total magnetic moment (μB per cell): 0.000
Uncorrected formation energy (eV per atom): -2.026

CIF file:
```
data_Pr3Sm3ScS8
_chemical_formula_sum 'Pr9 Sm9 Sc3 S24'
_cell_length_a 8.0230
_cell_length_b 8.0230
_cell_length_c 19.8467
_cell_angle_alpha 90.00
_cell_angle_beta 90.00
_cell_angle_gamma 120.00
_symmetry_space_group_name_H-M 'R -3 m'
_symmetry_Int_Tables_number 166
_symmetry_space_group_name_Hall '-R 3 2"'
loop_
_atom_site_label
_atom_site_fract_x
_atom_site_fract_y
_atom_site_fract_z
Pr1 0.0000 0.5000 0.0000
Sm1 0.0000 0.5000 0.5000
Sc1 0.0000 0.0000 0.5000
S1 0.0000 0.0000 0.2472
S2 0.0159 0.5079 0.2434
```

***

12.
Compound: BaTcRh
Source: the Alexandria database
Functional: PBE-GGA
Structure: relaxed

Total magnetic moment (μB per cell): 14.741
Formation enthalpy at 0 K (eV per atom): 1.0017

CIF file:
```
data_BaTcRh
_chemical_formula_sum 'Ba4 Tc4 Rh4'
_cell_length_a 6.8193
_cell_length_b 6.8193
_cell_length_c 6.8193
_cell_angle_alpha 90.00
_cell_angle_beta 90.00
_cell_angle_gamma 90.00
_symmetry_space_group_name_H-M 'F -4 3 m'
_symmetry_Int_Tables_number 216
_symmetry_space_group_name_Hall 'F -4 2 3'
loop_
_atom_site_label
_atom_site_fract_x
_atom_site_fract_y
_atom_site_fract_z
Ba1 0.0000 0.0000 0.0000
Tc1 0.0000 0.0000 0.5000
Rh1 0.2500 0.2500 0.2500
```

***

13.
Compound: La2FeSi3
Source: the Alexandria database
Functional: PBE-GGA
Structure: relaxed

Total magnetic moment (μB per cell): 1.571
Uncorrected formation energy (eV per atom): -0.528

CIF file:
```
data_La2FeSi3
_chemical_formula_sum 'La2 Fe1 Si3'
_cell_length_a 4.0829
_cell_length_b 4.0829
_cell_length_c 8.7878
_cell_angle_alpha 90.00
_cell_angle_beta 90.00
_cell_angle_gamma 120.00
_symmetry_space_group_name_H-M 'P -6 m 2'
_symmetry_Int_Tables_number 187
_symmetry_space_group_name_Hall 'P -6 2'
loop_
_atom_site_label
_atom_site_fract_x
_atom_site_fract_y
_atom_site_fract_z
La1 0.0000 0.0000 0.2448
Fe1 0.3333 0.6667 0.0000
Si1 0.3333 0.6667 0.5000
Si2 0.6667 0.3333 0.0000
Si3 0.6667 0.3333 0.5000
```

***

14.
Compound: Dy6Tl6Bi
Source: the Alexandria database
Functional: PBE-GGA
Structure: relaxed

Total magnetic moment (μB per cell): 0.000
Formation enthalpy at 0 K (eV per atom): -0.2291

CIF file:
```
data_Dy6Tl6Bi
_chemical_formula_sum 'Dy6 Tl6 Bi1'
_cell_length_a 6.5300
_cell_length_b 6.5300
_cell_length_c 10.3399
_cell_angle_alpha 90.00
_cell_angle_beta 90.00
_cell_angle_gamma 120.00
_symmetry_space_group_name_H-M 'P 6/m m m'
_symmetry_Int_Tables_number 191
_symmetry_space_group_name_Hall '-P 6 2'
loop_
_atom_site_label
_atom_site_fract_x
_atom_site_fract_y
_atom_site_fract_z
Dy1 0.0000 0.0000 0.1951
Dy2 0.3333 0.6667 0.0000
Dy3 0.3333 0.6667 0.5000
Tl1 0.0000 0.5000 0.2478
Bi1 0.0000 0.0000 0.5000
```

***

15.
Compound: TeAsN3
Source: the Alexandria database
Functional: PBE-GGA
Structure: relaxed

Total magnetic moment (μB per cell): 0.000
Uncorrected formation energy (eV per atom): 1.790

CIF file:
```
data_TeAsN3
_chemical_formula_sum 'Te1 As1 N3'
_cell_length_a 3.9570
_cell_length_b 3.9570
_cell_length_c 3.9570
_cell_angle_alpha 90.00
_cell_angle_beta 90.00
_cell_angle_gamma 90.00
_symmetry_space_group_name_H-M 'P m -3 m'
_symmetry_Int_Tables_number 221
_symmetry_space_group_name_Hall '-P 4 2 3'
loop_
_atom_site_label
_atom_site_fract_x
_atom_site_fract_y
_atom_site_fract_z
Te1 0.0000 0.0000 0.0000
As1 0.5000 0.5000 0.5000
N1 0.0000 0.0000 0.5000
```

***

16.
Compound: CaTb2NdSe4
Source: the Alexandria database
Functional: PBE-GGA
Structure: relaxed

Total magnetic moment (μB per cell): 0.000
Uncorrected formation energy (eV per atom): -1.841

CIF file:
```
data_CaTb2NdSe4
_chemical_formula_sum 'Ca1 Tb2 Nd1 Se4'
_cell_length_a 7.1907
_cell_length_b 4.1278
_cell_length_c 7.2216
_cell_angle_alpha 90.00
_cell_angle_beta 109.07
_cell_angle_gamma 90.00
_symmetry_space_group_name_H-M 'P 1 2/m 1'
_symmetry_Int_Tables_number 10
loop_
_symmetry_equiv_pos_as_xyz
'x,y,z'
'-x,-y,-z'
'-x,y,-z'
'x,-y,z'
loop_
_atom_site_label
_atom_site_fract_x
_atom_site_fract_y
_atom_site_fract_z
Ca1 0.0000 0.0000 0.0000
Tb1 0.5000 0.0000 0.5000
Tb2 0.5000 0.5000 0.0000
Nd1 0.0000 0.5000 0.5000
Se1 0.2557 0.5000 0.2478
Se2 0.2579 0.0000 0.7578
```